The following is a PBE calculation of crystalline NaZrAl at its relaxed geometry, from Alexandria.

Summary:
E_tot	-4.3837	eV/atom
DFT formation energy	0.15	eV/atom

Cell lengths 6.349, 4.420, 9.069 Å; angles 90.00, 90.00, 90.00 degrees
Atoms (fractional coordinates):
Zr (0.075, 0.750, 0.876)
Zr (0.925, 0.250, 0.124)
Zr (0.575, 0.750, 0.624)
Zr (0.425, 0.250, 0.376)
Na (0.597, 0.750, 0.961)
Na (0.403, 0.250, 0.039)
Na (0.903, 0.250, 0.461)
Na (0.097, 0.750, 0.539)
Al (0.188, 0.750, 0.218)
Al (0.812, 0.250, 0.782)
Al (0.312, 0.250, 0.718)
Al (0.688, 0.750, 0.282)



The following is a PBE calculation of crystalline TmLu2Al at its relaxed geometry, from Alexandria.

Summary:
E_tot	-4.1940	eV/atom
DFT formation energy	0.12	eV/atom

Cell lengths 3.374, 3.374, 11.455 Å; angles 81.53, 81.53, 60.00 degrees
Last column: magnetic moment on the atom in μB.
Atoms (fractional coordinates):
Al (0.500, 0.500, 0.500)  0.00
Lu (0.901, 0.901, 0.297)  0.09
Lu (0.099, 0.099, 0.703)  0.09
Tm (0.000, 0.000, 0.000)  0.42



The following is a PBE calculation of crystalline CsSrAlTe3 at its relaxed geometry, from Alexandria.

Summary:
E_tot	-3.4811	eV/atom

Cell lengths 5.598, 9.468, 9.968 Å; angles 102.58, 90.00, 107.20 degrees
Atoms (fractional coordinates):
Al (0.983, 0.965, 0.715)
Al (0.017, 0.035, 0.285)
Sr (0.642, 0.283, 0.554)
Sr (0.358, 0.717, 0.446)
Te (0.867, 0.734, 0.249)
Te (0.499, 0.998, 0.271)
Te (0.834, 0.667, 0.656)
Te (0.166, 0.333, 0.344)
Te (0.133, 0.266, 0.751)
Te (0.501, 0.002, 0.729)
Cs (0.654, 0.308, 0.059)
Cs (0.346, 0.692, 0.941)



The following is a PBE calculation of crystalline La2Y3Ho2 at its relaxed geometry, from Alexandria.

Summary:
E_tot	-5.4107	eV/atom
DFT formation energy	0.08	eV/atom

Cell lengths 3.571, 12.039, 5.764 Å; angles 76.13, 90.00, 98.55 degrees
Atoms (fractional coordinates):
Y (0.000, 0.000, 0.000)
Y (0.726, 0.453, 0.274)
Y (0.274, 0.547, 0.726)
Ho (0.637, 0.275, 0.863)
Ho (0.363, 0.725, 0.137)
La (0.912, 0.824, 0.588)
La (0.088, 0.176, 0.412)



The following is a PBE calculation of crystalline Dy3GaBr3 at its relaxed geometry, from Alexandria.

Summary:
E_tot	-4.3811	eV/atom

Cell lengths 10.114, 10.114, 10.114 Å; angles 109.47, 109.47, 109.47 degrees
Atoms (fractional coordinates):
Br (0.489, 0.744, 0.994)
Br (0.256, 0.744, 0.250)
Br (0.006, 0.250, 0.994)
Br (0.750, 0.756, 0.744)
Br (0.011, 0.506, 0.756)
Br (0.244, 0.250, 0.756)
Br (0.256, 0.511, 0.506)
Br (0.006, 0.756, 0.511)
Br (0.244, 0.994, 0.989)
Br (0.494, 0.989, 0.744)
Br (0.494, 0.506, 0.250)
Br (0.750, 0.994, 0.506)
Dy (0.250, 0.010, 0.490)
Dy (0.250, 0.240, 0.260)
Dy (0.521, 0.260, 0.010)
Dy (0.740, 0.260, 0.750)
Dy (0.990, 0.750, 0.010)
Dy (0.760, 0.010, 0.021)
Dy (0.760, 0.750, 0.240)
Dy (0.979, 0.490, 0.240)
Dy (0.990, 0.240, 0.479)
Dy (0.510, 0.490, 0.750)
Dy (0.740, 0.479, 0.490)
Dy (0.510, 0.021, 0.260)
Ga (0.750, 0.500, 0.000)
Ga (0.000, 0.000, 0.250)
Ga (0.750, 0.250, 0.250)
Ga (0.500, 0.250, 0.500)



The following is a PBE calculation of crystalline AgBi5S8 at its relaxed geometry, from Alexandria.

Summary:
E_tot	-4.2533	eV/atom

Cell lengths 8.267, 8.267, 8.267 Å; angles 60.00, 60.00, 60.00 degrees
Atoms (fractional coordinates):
S (0.867, 0.867, 0.398)
S (0.381, 0.857, 0.381)
S (0.867, 0.867, 0.867)
S (0.867, 0.398, 0.867)
S (0.398, 0.867, 0.867)
S (0.381, 0.381, 0.857)
S (0.381, 0.381, 0.381)
S (0.857, 0.381, 0.381)
Ag (0.250, 0.250, 0.250)
Bi (0.621, 0.621, 0.138)
Bi (0.621, 0.138, 0.621)
Bi (0.621, 0.621, 0.621)
Bi (0.138, 0.621, 0.621)
Bi (0.000, 0.000, 0.000)



The following is a PBE calculation of crystalline NdCdCu2 at its relaxed geometry, from Alexandria.

Summary:
E_tot	-3.5026	eV/atom
DFT formation energy	-0.03	eV/atom

Cell lengths 3.405, 3.405, 6.812 Å; angles 90.00, 90.00, 90.00 degrees
Atoms (fractional coordinates):
Cu (0.000, 0.000, 0.711)
Cu (0.000, 0.000, 0.289)
Cd (0.500, 0.500, 0.500)
Nd (0.500, 0.500, 0.000)



The following is a PBE calculation of crystalline Hg2RuF6 at its relaxed geometry, from Alexandria.

Summary:
E_tot	-3.8275	eV/atom

Cell lengths 5.361, 5.803, 5.714 Å; angles 91.54, 90.00, 117.51 degrees
Last column: magnetic moment on the atom in μB.
Atoms (fractional coordinates):
Ru (0.000, 0.000, 0.000)  1.95
F (0.747, 0.990, 0.760)  0.11
F (0.253, 0.010, 0.240)  0.11
F (0.757, 0.010, 0.240)  0.11
F (0.243, 0.990, 0.760)  0.11
F (0.814, 0.629, 0.002)  0.12
F (0.186, 0.371, 0.998)  0.12
Hg (0.287, 0.575, 0.530)  0.01
Hg (0.713, 0.425, 0.470)  0.01



The following is a PBE calculation of crystalline CsTlF3 at its relaxed geometry, from Alexandria.

Summary:
E_tot	-3.8301	eV/atom

Cell lengths 3.885, 7.155, 7.155 Å; angles 113.57, 90.00, 90.00 degrees
Atoms (fractional coordinates):
F (0.500, 0.626, 0.726)
F (0.000, 0.236, 0.764)
F (0.500, 0.274, 0.374)
Tl (0.000, 0.423, 0.577)
Cs (0.500, 0.069, 0.931)



The following is a PBE calculation of crystalline Na3Sm3InS8 at its relaxed geometry, from Alexandria.

Summary:
E_tot	-5.0352	eV/atom

Cell lengths 8.063, 8.063, 8.164 Å; angles 119.60, 90.00, 120.00 degrees
Atoms (fractional coordinates):
Na (0.000, 0.500, 0.000)
Na (0.500, 0.500, 0.000)
Na (0.000, 0.000, 0.000)
In (0.000, 0.000, 0.500)
S (0.256, 0.513, 0.269)
S (0.244, 0.010, 0.276)
S (0.234, 0.990, 0.724)
S (0.744, 0.487, 0.731)
S (0.234, 0.469, 0.725)
S (0.766, 0.531, 0.275)
S (0.766, 0.010, 0.276)
S (0.756, 0.990, 0.724)
Sm (0.500, 0.000, 0.500)
Sm (0.000, 0.500, 0.500)
Sm (0.500, 0.500, 0.500)



The following is a PBE calculation of crystalline Pd3N at its relaxed geometry, from Alexandria.

Summary:
E_tot	-5.5863	eV/atom

Cell lengths 6.782, 6.782, 6.782 Å; angles 109.47, 109.47, 109.47 degrees
Atoms (fractional coordinates):
Pd (0.502, 0.312, 0.190)
Pd (0.498, 0.688, 0.810)
Pd (0.122, 0.312, 0.810)
Pd (0.190, 0.502, 0.312)
Pd (0.190, 0.878, 0.688)
Pd (0.688, 0.810, 0.498)
Pd (0.810, 0.498, 0.688)
Pd (0.878, 0.688, 0.190)
Pd (0.688, 0.190, 0.878)
Pd (0.312, 0.810, 0.122)
Pd (0.810, 0.122, 0.312)
Pd (0.312, 0.190, 0.502)
N (0.000, 0.500, 0.000)
N (0.000, 0.000, 0.500)
N (0.500, 0.500, 0.500)
N (0.500, 0.000, 0.000)



The following is a PBE calculation of crystalline RbTl2Hg at its relaxed geometry, from Alexandria.

Summary:
E_tot	-1.4882	eV/atom
DFT formation energy	0.01	eV/atom

Cell lengths 5.560, 5.560, 11.937 Å; angles 76.53, 76.53, 90.00 degrees
Atoms (fractional coordinates):
Tl (0.875, 0.014, 0.750)
Tl (0.375, 0.236, 0.750)
Tl (0.986, 0.625, 0.250)
Tl (0.764, 0.125, 0.250)
Hg (0.750, 0.250, 0.500)
Hg (0.000, 0.000, 0.000)
Rb (0.250, 0.750, 0.500)
Rb (0.500, 0.500, 0.000)



The following is a PBE calculation of crystalline Nd3Sm4Cd2 at its relaxed geometry, from Alexandria.

Summary:
E_tot	-3.9626	eV/atom
DFT formation energy	-0.07	eV/atom

Cell lengths 5.016, 7.876, 7.973 Å; angles 107.85, 108.33, 90.00 degrees
Atoms (fractional coordinates):
Sm (0.778, 0.686, 0.556)
Sm (0.556, 0.331, 0.112)
Sm (0.222, 0.314, 0.444)
Sm (0.444, 0.669, 0.888)
Cd (0.335, 0.000, 0.671)
Cd (0.665, 0.000, 0.329)
Nd (0.115, 0.674, 0.230)
Nd (0.885, 0.326, 0.770)
Nd (0.000, 0.000, 0.000)



The following is a PBE calculation of crystalline Tm3Si2Rh3 at its relaxed geometry, from Alexandria.

Summary:
E_tot	-6.8424	eV/atom

Cell lengths 5.474, 7.442, 14.681 Å; angles 90.00, 90.00, 90.00 degrees
Atoms (fractional coordinates):
Tm (0.632, 0.025, 0.607)
Tm (0.632, 0.025, 0.893)
Tm (0.608, 0.332, 0.250)
Tm (0.368, 0.975, 0.107)
Tm (0.892, 0.832, 0.250)
Tm (0.368, 0.975, 0.393)
Tm (0.392, 0.668, 0.750)
Tm (0.108, 0.168, 0.750)
Tm (0.868, 0.525, 0.893)
Tm (0.132, 0.475, 0.107)
Tm (0.132, 0.475, 0.393)
Tm (0.868, 0.525, 0.607)
Si (0.373, 0.377, 0.605)
Si (0.373, 0.377, 0.895)
Si (0.873, 0.123, 0.395)
Si (0.127, 0.877, 0.895)
Si (0.627, 0.623, 0.395)
Si (0.127, 0.877, 0.605)
Si (0.873, 0.123, 0.105)
Si (0.627, 0.623, 0.105)
Rh (0.097, 0.171, 0.963)
Rh (0.403, 0.671, 0.537)
Rh (0.903, 0.829, 0.463)
Rh (0.898, 0.818, 0.750)
Rh (0.398, 0.682, 0.250)
Rh (0.097, 0.171, 0.537)
Rh (0.597, 0.329, 0.463)
Rh (0.597, 0.329, 0.037)
Rh (0.903, 0.829, 0.037)
Rh (0.102, 0.182, 0.250)
Rh (0.403, 0.671, 0.963)
Rh (0.602, 0.318, 0.750)



The following is a PBE calculation of crystalline Be2MoAs at its relaxed geometry, from Alexandria.

Summary:
E_tot	-5.6704	eV/atom
DFT formation energy	0.06	eV/atom

Cell lengths 3.230, 3.230, 4.864 Å; angles 90.00, 90.00, 90.00 degrees
Atoms (fractional coordinates):
Mo (0.500, 0.500, 0.250)
Be (0.000, 0.000, 0.477)
Be (0.000, 0.000, 0.023)
As (0.500, 0.500, 0.750)



The following is a PBE calculation of crystalline La2ScSn3Ir4 at its relaxed geometry, from Alexandria.

Summary:
E_tot	-7.0537	eV/atom
DFT formation energy	-0.69	eV/atom

Cell lengths 4.382, 4.382, 11.509 Å; angles 90.00, 90.00, 90.00 degrees
Atoms (fractional coordinates):
Ir (0.500, 0.000, 0.642)
Ir (0.000, 0.500, 0.358)
Ir (0.000, 0.000, 0.000)
Ir (0.500, 0.500, 0.000)
La (0.500, 0.000, 0.243)
La (0.000, 0.500, 0.757)
Sn (0.000, 0.000, 0.500)
Sn (0.500, 0.000, 0.872)
Sn (0.000, 0.500, 0.128)
Sc (0.500, 0.500, 0.500)



The following is a PBE calculation of crystalline AlTc2Ni at its relaxed geometry, from Alexandria.

Summary:
E_tot	-7.6243	eV/atom
DFT formation energy	-0.06	eV/atom

Cell lengths 2.651, 2.651, 7.722 Å; angles 90.00, 90.00, 90.01 degrees
Atoms (fractional coordinates):
Tc (0.000, 0.000, 0.990)
Tc (0.000, 0.000, 0.510)
Ni (0.500, 0.500, 0.750)
Al (0.500, 0.500, 0.250)



The following is a PBE calculation of crystalline Sc2BeH at its relaxed geometry, from Alexandria.

Summary:
E_tot	-4.6709	eV/atom

Cell lengths 7.544, 7.544, 7.544 Å; angles 26.05, 26.05, 26.05 degrees
Last column: magnetic moment on the atom in μB.
Atoms (fractional coordinates):
Sc (0.913, 0.913, 0.913)  0.31
Sc (0.087, 0.087, 0.087)  0.31
Be (0.500, 0.500, 0.500)  -0.02
H (0.000, 0.000, 0.000)  0.00



The following is a PBE calculation of crystalline YTiZn3 at its relaxed geometry, from Alexandria.

Summary:
E_tot	-3.2872	eV/atom
DFT formation energy	0.35	eV/atom

Cell lengths 4.834, 4.834, 4.834 Å; angles 90.00, 90.00, 90.00 degrees
Last column: magnetic moment on the atom in μB.
Atoms (fractional coordinates):
Zn (0.500, 0.000, 0.000)  0.15
Zn (0.000, 0.500, 0.000)  0.11
Zn (0.000, 0.000, 0.500)  0.07
Ti (0.000, 0.000, 0.000)  1.29
Y (0.500, 0.500, 0.500)  0.01



The following is a PBE calculation of crystalline Ac2HRh2 at its relaxed geometry, from Alexandria.

Summary:
E_tot	-5.7892	eV/atom

Cell lengths 3.843, 5.237, 5.230 Å; angles 86.01, 90.04, 90.11 degrees
Atoms (fractional coordinates):
Rh (0.000, 0.732, 0.268)
Rh (0.000, 0.268, 0.732)
Ac (0.500, 0.250, 0.250)
Ac (0.500, 0.750, 0.750)
H (0.000, 0.000, 0.000)